# 1
Material: TaTl
Method: DFT, PBE
State: optimized geometry

Symmetry   Pm-3m (221)
DFT formation energy   0.8827 eV/atom
Spin magnetization   0.00 μB per cell
ΔE to the lowest computed polymorph   423 meV per atom

a = 3.443 Å, b = 3.443 Å, c = 3.443 Å
α = 90.00°, β = 90.00°, γ = 90.00°
Positions (direct):
Tl: 0.500 0.500 0.500
Ta: 0.000 0.000 0.000

***

# 2
Material: Np2SbAs3
Method: DFT, PBE
State: optimized geometry

Symmetry   P-4m2 (115)
Formation energy from raw total energies   -506 meV/atom
Spin magnetization   6.00 μB per cell

a = 4.047 Å, b = 4.047 Å, c = 8.222 Å
α = 90.00°, β = 90.00°, γ = 90.00°
Each line ends with the local moment (μB).
Positions (direct):
As: 0.000 0.000 0.000  -0.08
Sb: 0.500 0.500 0.000  -0.06
Np: 0.500 0.000 0.703  3.21
As: 0.500 0.000 0.354  -0.15
Np: 0.000 0.500 0.297  3.21
As: 0.000 0.500 0.646  -0.15

***

# 3
Material: PAu3
Method: DFT, PBE
State: optimized geometry

Symmetry   Fm-3m (225)
DFT formation energy   0.3957 eV/atom
Spin magnetization   0.00 μB per cell
ΔE to the lowest computed polymorph   370 meV per atom

a = 4.653 Å, b = 4.653 Å, c = 4.653 Å
α = 60.00°, β = 60.00°, γ = 60.00°
Positions (direct):
Au: 0.750 0.750 0.750
P: 0.250 0.250 0.250
Au: 0.000 0.000 0.000
Au: 0.500 0.500 0.500

***

spin magnetization of number 2 (Np2SbAs3)?
6.00 μB per cell